DFT (PBE-GGA) results for a geometry-optimized CrTcPt structure.

POSCAR file:
```
CrTcPt
1.0
4.0670 0.0000 0.0000
2.0335 3.5221 0.0000
2.0335 1.1740 3.3207
Pt Tc Cr
1 1 1
direct
0.0000 0.0000 0.0000
0.5000 0.5000 0.5000
0.7500 0.7500 0.7500
```

The calculation puts the formation energy from the elements at 0.2750 eV/atom. As for the density of states at the Fermi level: 4.0 states/eV/f.u.

---

DFT (PBE-GGA) results for a geometry-optimized CrTcPt structure.

POSCAR file:
```
CrTcPt
1.0
-5.0724 -2.1853 -2.4354
-3.6279 -4.4187 -1.9363
-1.5406 -0.5125 2.1651
Tc Cr Pt
1 1 1
direct
0.6576 0.6576 0.3424
0.0037 0.0037 0.9963
0.3386 0.3386 0.6614
```

The calculation puts the formation energy from the elements at -0.0468 eV/atom. As for the density of states at the Fermi level: 3.2 states/eV/f.u.

---

DFT (PBE-GGA) results for a geometry-optimized Cr3TcPt structure.

POSCAR file:
```
Cr3TcPt
1.0
4.4785 0.0000 0.0000
0.0000 4.4785 0.0000
0.0000 0.0000 4.4785
Pt Cr Tc
1 3 1
direct
0.0000 0.0000 0.0000
0.0000 0.5000 0.0000
0.5000 0.0000 0.0000
0.0000 0.0000 0.5000
0.5000 0.5000 0.5000
```

The calculation puts the formation energy from the elements at 1.9372 eV/atom. As for the density of states at the Fermi level: 11.1 states/eV/f.u.

---

DFT (PBE-GGA) results for a geometry-optimized ZnCrTcPt structure.

POSCAR file:
```
ZnCrTcPt
1.0
-3.8850 -0.5682 1.7537
-0.4002 -2.2002 3.6729
-1.0400 2.0519 3.6331
Pt Tc Zn Cr
1 1 1 1
direct
0.2500 0.2500 0.2500
0.7500 0.7500 0.7500
0.5000 0.5000 0.5000
0.0000 0.0000 0.0000
```

The calculation puts the formation energy from the elements at -0.0853 eV/atom. As for the density of states at the Fermi level: 5.0 states/eV/f.u.

---

DFT (PBE-GGA) results for a geometry-optimized CrTe2Pt structure.

POSCAR file:
```
CrTe2Pt
1.0
5.6583 1.6278 6.1492
7.5705 -0.6306 3.8430
7.3247 3.0381 3.0980
Cr Te Pt
1 2 1
direct
0.5000 0.5000 0.5000
0.1028 0.1028 0.1028
0.8972 0.8972 0.8972
0.0000 0.0000 0.0000
```

For the energy relative to the elements, uncorrected, the calculation gives 134 meV per atom. As for the density of states at the Fermi level: 3.3 states/eV/f.u.

---

DFT (PBE-GGA) results for a geometry-optimized CrTe2Pt structure.

POSCAR file:
```
CrTe2Pt
1.0
4.9450 0.0000 0.0000
2.4725 4.2825 0.0000
2.4725 1.4275 4.0376
Te Cr Pt
2 1 1
direct
0.0000 0.0000 0.0000
0.2500 0.2500 0.2500
0.5000 0.5000 0.5000
0.7500 0.7500 0.7500
```

For the energy relative to the elements, uncorrected, the calculation gives 489 meV per atom. As for the density of states at the Fermi level: 2.9 states/eV/f.u.